VASP calculation (PBE) on K2PmSnS4 after structural relaxation.

Output
- density of states at the Fermi level (states/eV per cell) = 3.25
- energy relative to the elements, uncorrected (meV per atom) = -1282.5

abc: 7.1518 4.0937 7.7465
angles: 90.00 107.62 90.00
Space group P2/m (No. 10)
Unique sites:
K1 0.0000 0.0000 0.0000 x1
K2 0.5000 0.5000 0.0000 x1
Pm1 0.0000 0.5000 0.5000 x1
Sn1 0.5000 0.0000 0.5000 x1
S1 0.2408 0.0000 0.7046 x2
S2 0.2702 0.5000 0.2975 x2

VASP calculation (PBE) on V4Pt2Rh3 after structural relaxation.

Output
- density of states at the Fermi level (states/eV per cell) = 19.14
- calculated formation energy (meV per atom) = -439.2

abc: 8.5378 3.8295 8.1139
angles: 90.00 107.44 90.00
Space group C2/m (No. 12)
Unique sites:
V1 0.0072 0.0000 0.3364 x4
V2 0.1692 0.5000 0.8945 x4
Pt1 0.1660 0.5000 0.2191 x4
Rh1 0.0000 0.0000 0.0000 x2
Rh2 0.1631 0.5000 0.5615 x4

VASP calculation (PBE) on Li3HoPd6 after structural relaxation.

Output
- density of states at the Fermi level (states/eV per cell) = 5.14
- calculated formation energy (meV per atom) = -541.1

abc: 7.8377 4.2996 9.3063
angles: 90.00 102.00 90.00
Space group P2_1/m (No. 11)
Unique sites:
Li1 0.0404 0.2500 0.3969 x2
Li2 0.1453 0.7500 0.1767 x2
Li3 0.2498 0.2500 0.9763 x2
Ho1 0.4360 0.2500 0.6206 x2
Pd1 0.0409 0.7500 0.8968 x2
Pd2 0.1146 0.2500 0.6974 x2
Pd3 0.2268 0.7500 0.4762 x2
Pd4 0.3193 0.2500 0.2773 x2
Pd5 0.3430 0.7500 0.7861 x2
Pd6 0.4314 0.7500 0.0823 x2